(i)
TlMo2Cl7O2 | GGA+U | optimized geometry

abc: 7.175 10.039 9.811
angles: 90.00 90.00 90.00
Site moments in Bohr magnetons follow the coordinates.
Fractional positions:
Cl (0.765, 0.314, 0.299)  0.02
Cl (0.235, 0.314, 0.299)  0.02
Cl (0.265, 0.686, 0.799)  0.02
Cl (0.265, 0.686, 0.201)  0.02
Cl (0.735, 0.686, 0.799)  0.02
Mo (0.500, 0.801, 0.320)  1.02
Mo (0.500, 0.801, 0.680)  1.02
Cl (0.232, 0.129, 0.000)  0.00
O (0.500, 0.952, 0.242)  -0.10
Cl (0.000, 0.401, 0.000)  -0.01
O (0.000, 0.048, 0.742)  -0.10
Cl (0.735, 0.686, 0.201)  0.02
Cl (0.268, 0.871, 0.500)  0.00
O (0.000, 0.048, 0.258)  -0.10
Cl (0.768, 0.129, 0.000)  0.00
Mo (0.000, 0.199, 0.180)  1.02
O (0.500, 0.952, 0.758)  -0.10
Cl (0.765, 0.314, 0.701)  0.02
Cl (0.235, 0.314, 0.701)  0.02
Cl (0.500, 0.599, 0.500)  -0.01
Tl (0.500, 0.483, 0.000)  0.01
Tl (0.000, 0.517, 0.500)  0.01
Cl (0.732, 0.871, 0.500)  0.00
Mo (0.000, 0.199, 0.820)  1.02

Output
Size of the total moment (Bohr magnetons per cell): 4.0


(ii)
TlMo2Cl7O2 | GGA+U | optimized geometry

abc: 7.275 9.667 10.278
angles: 102.64 91.20 109.29
Site moments in Bohr magnetons follow the coordinates.
Fractional positions:
Mo (0.628, 0.380, 0.600)  1.02
Cl (0.914, 0.656, 0.153)  0.01
Tl (0.776, 0.237, 0.064)  0.00
O (0.261, 0.750, 0.430)  -0.10
O (0.980, 0.002, 0.266)  -0.10
Cl (0.745, 0.843, 0.974)  0.01
O (0.739, 0.250, 0.570)  -0.10
Cl (0.574, 0.403, 0.835)  0.00
Cl (0.413, 0.591, 0.625)  0.02
Cl (0.538, 0.978, 0.228)  0.01
Cl (0.896, 0.606, 0.660)  0.03
Mo (0.225, 0.148, 0.794)  1.02
Tl (0.224, 0.763, 0.936)  0.00
Cl (0.086, 0.344, 0.847)  0.01
Cl (0.104, 0.394, 0.340)  0.03
Cl (0.255, 0.157, 0.026)  0.01
Cl (0.462, 0.022, 0.772)  0.01
Cl (0.285, 0.201, 0.565)  0.00
O (0.020, 0.998, 0.734)  -0.10
Mo (0.775, 0.852, 0.206)  1.02
Cl (0.715, 0.799, 0.435)  0.00
Cl (0.587, 0.409, 0.375)  0.02
Mo (0.372, 0.620, 0.400)  1.02
Cl (0.426, 0.597, 0.165)  0.00

Output
Size of the total moment (Bohr magnetons per cell): 4.0


Need the numbers? Relative energies in kJ/mol of atoms: (i) 0.0; (ii) 0.9.